No. 1
Here is an optimized crystal structure of Zr2MnAl from Alexandria. Energies are from PBE.

a = 3.2690 Å, b = 3.2690 Å, c = 6.6779 Å
α = 90.00°, β = 90.00°, γ = 90.00°
Last column: nearest neighbours and their distance in Å.
Fractional positions:
Al1 0.5000 0.5000 0.2500  8 Zr 2.94, 4 Al 3.27
Zr1 0.0000 0.0000 0.9790  4 Mn 2.77, 4 Al 2.94, 1 Zr 3.06
Zr2 0.0000 0.0000 0.5210  4 Mn 2.77, 4 Al 2.94, 1 Zr 3.06
Mn1 0.5000 0.5000 0.7500  8 Zr 2.77

DFT formation energy, eV per atom: -0.256
N(E_F), states/eV/f.u.: 1.4
Total magnetization, μB/f.u.: 0.0
V, A^3/atom: 17.841

***

No. 2
Here is an optimized crystal structure of Zr2MnAl from Alexandria. Energies are from PBE.

a = 5.1429 Å, b = 5.1429 Å, c = 5.1429 Å
α = 131.08°, β = 131.08°, γ = 71.68°
Last column: nearest neighbours and their distance in Å.
Fractional positions:
Mn1 0.7500 0.2500 0.5000  8 Zr 2.98, 4 Al 3.01
Zr1 0.5000 0.5000 0.0000  4 Mn 2.98, 4 Al 2.98, 4 Zr 3.01
Zr2 0.0000 0.0000 0.0000  4 Al 2.98, 4 Mn 2.98, 4 Zr 3.01
Al1 0.2500 0.7500 0.5000  8 Zr 2.98, 4 Mn 3.01

DFT formation energy, eV per atom: -0.158
N(E_F), states/eV/f.u.: 4.0
Total magnetization, μB/f.u.: 3.0
V, A^3/atom: 18.902

***

No. 3
Here is an optimized crystal structure of Zr2MnAl from Alexandria. Energies are from PBE.

a = 8.7463 Å, b = 8.7463 Å, c = 8.7463 Å
α = 21.01°, β = 21.01°, γ = 21.01°
Last column: nearest neighbours and their distance in Å.
Fractional positions:
Al1 0.2500 0.2500 0.2500  6 Zr 3.01, 6 Al 3.19
Mn1 0.7500 0.7500 0.7500  6 Zr 2.64
Zr1 0.0094 0.0094 0.0094  3 Mn 2.64
Zr2 0.4906 0.4906 0.4906  3 Mn 2.64

DFT formation energy, eV per atom: 0.035
N(E_F), states/eV/f.u.: 3.3
Total magnetization, μB/f.u.: 0.4
V, A^3/atom: 18.829

***

No. 4
Here is an optimized crystal structure of Zr3Mn8Al from Alexandria. Energies are from PBE.

a = 4.8566 Å, b = 4.8566 Å, c = 8.1220 Å
α = 90.00°, β = 90.00°, γ = 120.00°
Last column: nearest neighbours and their distance in Å.
Fractional positions:
Zr1 0.3333 0.6667 0.0645  12 Mn 2.85-2.94, 4 Zr 3.02-3.07
Mn1 0.8272 0.1728 0.2547  6 Mn 2.34-2.52
Mn2 0.6597 0.8299 0.7450  6 Mn 2.38-2.55
Mn3 0.0000 0.0000 0.5008  6 Mn 2.45-2.47
Zr2 0.3333 0.6667 0.4427  12 Mn 2.81-2.87, 3 Al 2.97, 1 Zr 3.07
Mn4 0.8272 0.6544 0.2547  6 Mn 2.34-2.52
Al1 0.6667 0.3333 0.5630  12 Mn 2.84-2.85, 4 Zr 2.94-2.97
Mn5 0.1701 0.3403 0.7450  6 Mn 2.38-2.55
Mn6 0.1701 0.8299 0.7450  6 Mn 2.38-2.55
Mn7 0.3456 0.1728 0.2547  6 Mn 2.34-2.52
Mn8 0.0000 0.0000 0.0046  6 Mn 2.50-2.55
Zr3 0.6667 0.3333 0.9255  12 Mn 2.84-3.00, 1 Al 2.94, 3 Zr 3.02

DFT formation energy, eV per atom: -0.196
N(E_F), states/eV/f.u.: 13.1
Total magnetization, μB/f.u.: 3.0
V, A^3/atom: 13.825

***

No. 5
Here is an optimized crystal structure of Zr2MnAl from Alexandria. Energies are from PBE.

a = 5.4052 Å, b = 5.4052 Å, c = 5.4052 Å
α = 136.07°, β = 136.07°, γ = 63.87°
Last column: nearest neighbours and their distance in Å.
Fractional positions:
Mn1 0.7500 0.2500 0.5000  8 Zr 2.86-3.06, 4 Al 3.06
Zr1 0.0000 0.0000 0.0000  4 Al 2.86, 4 Zr 3.06, 4 Mn 3.06
Zr2 0.2500 0.7500 0.5000  4 Mn 2.86, 4 Zr 3.06, 4 Al 3.06
Al1 0.5000 0.5000 0.0000  8 Zr 2.86-3.06, 4 Mn 3.06

DFT formation energy, eV per atom: -0.135
N(E_F), states/eV/f.u.: 4.1
Total magnetization, μB/f.u.: 2.4
V, A^3/atom: 18.750

***

No. 6
Here is an optimized crystal structure of ZrMn9Al2 from Alexandria. Energies are from PBE.

a = 4.7586 Å, b = 4.7586 Å, c = 8.1746 Å
α = 73.08°, β = 73.08°, γ = 60.00°
Last column: nearest neighbours and their distance in Å.
Fractional positions:
Mn1 0.5935 0.0709 0.7421  7 Mn 2.27-2.51
Mn2 0.4065 0.9291 0.2579  7 Mn 2.27-2.51
Mn3 0.9291 0.4065 0.2579  7 Mn 2.27-2.51
Mn4 0.4065 0.4065 0.2579  7 Mn 2.27-2.51
Al1 0.8578 0.8578 0.4265  12 Mn 2.71-2.81, 3 Al 2.97
Mn5 0.5935 0.5935 0.7421  7 Mn 2.27-2.51
Mn6 0.6602 0.6602 0.0195  6 Mn 2.33-2.51
Mn7 0.0709 0.5935 0.7421  7 Mn 2.27-2.51
Mn8 0.3398 0.3398 0.9805  6 Mn 2.33-2.51
Zr1 0.0000 0.0000 0.0000  6 Mn 2.75
Al2 0.1422 0.1422 0.5735  12 Mn 2.71-2.81, 3 Al 2.97
Mn9 0.5000 0.5000 0.5000  6 Mn 2.35

DFT formation energy, eV per atom: -0.054
N(E_F), states/eV/f.u.: 15.0
Total magnetization, μB/f.u.: 0.0
V, A^3/atom: 12.582

***

No. 7
Here is an optimized crystal structure of ZrMn6Al12 from Alexandria. Energies are from PBE.

a = 7.2486 Å, b = 7.2486 Å, c = 7.2486 Å
α = 109.47°, β = 109.47°, γ = 109.47°
Last column: nearest neighbours and their distance in Å.
Fractional positions:
Al1 0.4589 0.1836 0.2753  1 Mn 2.38
Al2 0.7247 0.5411 0.8164  1 Mn 2.38
Al3 0.9083 0.1836 0.7247  1 Mn 2.38
Mn1 0.5000 0.1427 0.6427  2 Al 2.38, 1 Mn 2.39
Al4 0.1836 0.7247 0.9083  1 Mn 2.38
Mn2 0.1427 0.6427 0.5000  2 Al 2.38, 1 Mn 2.39
Zr1 0.0000 0.0000 0.0000  12 Al 2.77
Al5 0.8164 0.7247 0.5411  1 Mn 2.38
Al6 0.1836 0.2753 0.4589  1 Mn 2.38
Al7 0.8164 0.2753 0.0917  1 Mn 2.38
Mn3 0.6427 0.5000 0.1427  2 Al 2.38, 1 Mn 2.39
Mn4 0.5000 0.8573 0.3573  2 Al 2.38, 1 Mn 2.39
Al8 0.2753 0.4589 0.1836  1 Mn 2.38
Mn5 0.8573 0.3573 0.5000  2 Al 2.38, 1 Mn 2.39
Al9 0.0917 0.8164 0.2753  1 Mn 2.38
Al10 0.5411 0.8164 0.7247  1 Mn 2.38
Mn6 0.3573 0.5000 0.8573  2 Al 2.38, 1 Mn 2.39
Al11 0.2753 0.0917 0.8164  1 Mn 2.38
Al12 0.7247 0.9083 0.1836  1 Mn 2.38

DFT formation energy, eV per atom: -0.079
N(E_F), states/eV/f.u.: 9.6
Total magnetization, μB/f.u.: 12.9
V, A^3/atom: 15.431

***

No. 8
Here is an optimized crystal structure of ZrMn4Al8 from Alexandria. Energies are from PBE.

a = 4.9024 Å, b = 6.6114 Å, c = 6.6114 Å
α = 82.10°, β = 68.24°, γ = 68.24°
Last column: nearest neighbours and their distance in Å.
Fractional positions:
Al1 0.3395 0.6605 0.6605  4 Mn 2.61, 5 Al 2.68-2.84
Mn1 0.5000 0.0000 0.5000  2 Mn 2.45, 8 Al 2.51-2.61
Zr1 0.0000 0.0000 0.0000  12 Al 2.95-3.08
Al2 0.0000 0.3395 0.6605  4 Mn 2.61, 5 Al 2.68-2.84
Al3 0.5000 0.7854 0.2146  4 Mn 2.51, 4 Al 2.63-2.68
Mn2 0.5000 0.5000 0.0000  2 Mn 2.45, 8 Al 2.51-2.61
Mn3 0.0000 0.0000 0.5000  2 Mn 2.45, 8 Al 2.51-2.61
Mn4 0.0000 0.5000 0.0000  2 Mn 2.45, 8 Al 2.51-2.61
Al4 0.0000 0.6605 0.3395  4 Mn 2.61, 5 Al 2.68-2.84
Al5 0.7146 0.7854 0.7854  4 Mn 2.51, 4 Al 2.63-2.68
Al6 0.2854 0.2146 0.2146  4 Mn 2.51, 4 Al 2.63-2.68
Al7 0.6605 0.3395 0.3395  4 Mn 2.61, 5 Al 2.68-2.84
Al8 0.5000 0.2146 0.7854  4 Mn 2.51, 4 Al 2.63-2.68

DFT formation energy, eV per atom: -0.342
N(E_F), states/eV/f.u.: 7.6
Total magnetization, μB/f.u.: 0.0
V, A^3/atom: 14.218

***

No. 9
Here is an optimized crystal structure of ZrMn2Al2 from Alexandria. Energies are from PBE.

a = 7.4701 Å, b = 7.4701 Å, c = 2.7699 Å
α = 90.00°, β = 90.00°, γ = 90.00°
Last column: nearest neighbours and their distance in Å.
Fractional positions:
Mn1 0.8797 0.6203 0.0000  3 Mn 2.54-2.77, 6 Al 2.59-2.62
Al1 0.6723 0.8277 0.5000  6 Mn 2.59-2.62, 2 Al 2.77
Zr1 0.5000 0.5000 0.0000  2 Zr 2.77, 4 Mn 2.98, 8 Al 3.09
Zr2 0.0000 0.0000 0.0000  2 Zr 2.77, 4 Mn 2.98, 8 Al 3.09
Al2 0.8277 0.3277 0.5000  6 Mn 2.59-2.62, 2 Al 2.77
Mn2 0.6203 0.1203 0.0000  3 Mn 2.54-2.77, 6 Al 2.59-2.62
Al3 0.1723 0.6723 0.5000  6 Mn 2.59-2.62, 2 Al 2.77
Al4 0.3277 0.1723 0.5000  6 Mn 2.59-2.62, 2 Al 2.77
Mn3 0.3797 0.8797 0.0000  3 Mn 2.54-2.77, 6 Al 2.59-2.62
Mn4 0.1203 0.3797 0.0000  3 Mn 2.54-2.77, 6 Al 2.59-2.62

DFT formation energy, eV per atom: -0.179
N(E_F), states/eV/f.u.: 4.0
Total magnetization, μB/f.u.: 5.0
V, A^3/atom: 15.457

***

No. 10
Here is an optimized crystal structure of ZrMn2Al2 from Alexandria. Energies are from PBE.

a = 3.7626 Å, b = 3.7626 Å, c = 6.3101 Å
α = 72.65°, β = 72.65°, γ = 90.00°
Last column: nearest neighbours and their distance in Å.
Fractional positions:
Mn1 0.7500 0.2500 0.5000  4 Al 2.47, 4 Mn 2.66
Zr1 0.0000 0.0000 0.0000  8 Al 2.94
Al1 0.3903 0.3903 0.2194  4 Mn 2.47, 1 Al 2.51
Al2 0.6097 0.6097 0.7806  4 Mn 2.47, 1 Al 2.51
Mn2 0.2500 0.7500 0.5000  4 Al 2.47, 4 Mn 2.66

DFT formation energy, eV per atom: -0.115
N(E_F), states/eV/f.u.: 4.1
Total magnetization, μB/f.u.: 4.3
V, A^3/atom: 16.201

***

No. 11
Here is an optimized crystal structure of ZrMn5Al7 from Alexandria. Energies are from PBE.

a = 5.0227 Å, b = 6.5780 Å, c = 6.5780 Å
α = 81.59°, β = 67.56°, γ = 67.56°
Last column: nearest neighbours and their distance in Å.
Fractional positions:
Zr1 0.0059 0.9941 0.9941  8 Al 2.85-3.06, 2 Mn 3.18
Al1 0.5056 0.1971 0.7917  5 Mn 2.49-2.62, 3 Al 2.65-2.77
Al2 0.9905 0.6711 0.3479  5 Mn 2.57-2.64, 4 Al 2.77-2.81
Mn1 0.4899 0.5021 0.0016  3 Mn 2.43-2.59, 7 Al 2.48-2.64
Al3 0.2738 0.2262 0.2262  4 Mn 2.48, 4 Al 2.65-2.68
Mn2 0.4899 0.0016 0.5021  3 Mn 2.43-2.59, 7 Al 2.48-2.64
Al4 0.9905 0.3479 0.6711  5 Mn 2.57-2.64, 4 Al 2.77-2.81
Mn3 0.0064 0.0016 0.5021  3 Mn 2.43-2.59, 7 Al 2.48-2.64
Al5 0.3368 0.6632 0.6632  6 Mn 2.58-2.67, 1 Al 2.83, 1 Zr 2.85
Mn4 0.7330 0.7670 0.7670  4 Mn 2.51, 6 Al 2.61-2.67
Mn5 0.0064 0.5021 0.0016  3 Mn 2.43-2.59, 7 Al 2.48-2.64
Al6 0.6656 0.3344 0.3344  4 Mn 2.61, 5 Al 2.68-2.90
Al7 0.5056 0.7917 0.1971  5 Mn 2.49-2.62, 3 Al 2.65-2.77

DFT formation energy, eV per atom: -0.306
N(E_F), states/eV/f.u.: 9.8
Total magnetization, μB/f.u.: 6.9
V, A^3/atom: 14.281

***

No. 12
Here is an optimized crystal structure of Zr3Mn8Al from Alexandria. Energies are from PBE.

a = 4.9161 Å, b = 4.9161 Å, c = 8.4682 Å
α = 73.13°, β = 73.13°, γ = 60.00°
Last column: nearest neighbours and their distance in Å.
Fractional positions:
Al1 0.8746 0.8746 0.3763  12 Mn 2.81-2.88, 4 Zr 2.94-2.99
Mn1 0.9375 0.4437 0.6814  6 Mn 2.42-2.49
Zr1 0.9974 0.9974 0.0079  12 Mn 2.87-2.97, 1 Al 2.94, 3 Zr 3.03
Mn2 0.4437 0.9375 0.6814  6 Mn 2.42-2.49
Zr2 0.3754 0.3754 0.8739  12 Mn 2.88-2.92, 4 Zr 3.03-3.04
Mn3 0.9375 0.9375 0.6814  6 Mn 2.42-2.49
Mn4 0.4359 0.9351 0.1930  6 Mn 2.41-2.48
Mn5 0.4359 0.4359 0.1930  6 Mn 2.41-2.48
Mn6 0.6874 0.6874 0.9378  6 Mn 2.48
Zr3 0.5022 0.5022 0.4933  12 Mn 2.78-2.88, 3 Al 2.99, 1 Zr 3.04
Mn7 0.1875 0.1875 0.4376  6 Mn 2.41-2.42
Mn8 0.9351 0.4359 0.1930  6 Mn 2.41-2.48

DFT formation energy, eV per atom: -0.184
N(E_F), states/eV/f.u.: 12.2
Total magnetization, μB/f.u.: 5.1
V, A^3/atom: 13.916